Record 1
Material: ScTlTc2
Method: DFT, PBE
State: relaxed Values from VASP.

Summary:
- Energy above the most stable polymorph in this dataset: 462.7 meV/atom
- Size of the total moment: 0.00 μB per cell
- D(E_F): 1.1283 states/eV/atom
- Electronic total energy: -27.663 eV for the cell shown
- ΔH_f (0 K): 0.442 eV per atom

Quantum ESPRESSO input file:
```
&SYSTEM
  ibrav = 0, nat = 4, ntyp = 3
/
ATOMIC_SPECIES
Sc 44.96 Sc.upf
Tc 98.00 Tc.upf
Tl 204.38 Tl.upf
CELL_PARAMETERS angstrom
-0.373 -1.367 -2.561
-1.404 -1.367 2.174
-7.370 5.019 -1.603
ATOMIC_POSITIONS crystal
Sc 0.500 0.500 0.750
Tc 0.000 0.000 0.991
Tc 0.000 0.000 0.509
Tl 0.500 0.500 0.250
```

***

Record 2
Material: ScTlTc3
Method: DFT, PBE
State: relaxed Values from VASP.

Summary:
- Energy above the most stable polymorph in this dataset: 0.0 meV/atom
- Size of the total moment: 3.10 μB per cell
- D(E_F): 1.0946 states/eV/atom
- Electronic total energy: -31.359 eV for the cell shown
- ΔH_f (0 K): 1.687 eV per atom

Quantum ESPRESSO input file:
```
&SYSTEM
  ibrav = 0, nat = 5, ntyp = 3
/
ATOMIC_SPECIES
Sc 44.96 Sc.upf
Tl 204.38 Tl.upf
Tc 98.00 Tc.upf
CELL_PARAMETERS angstrom
-3.474 -3.113 0.333
2.832 -2.914 2.315
-1.333 1.922 4.050
ATOMIC_POSITIONS crystal
Sc 0.000 0.000 0.000
Tl 0.500 0.500 0.500
Tc 0.000 0.500 0.000
Tc 0.000 0.000 0.500
Tc 0.500 0.000 0.000
```

***

Record 3
Material: ScTl2Tc
Method: DFT, PBE
State: relaxed Values from VASP.

Summary:
- Energy above the most stable polymorph in this dataset: 299.7 meV/atom
- Size of the total moment: 1.21 μB per cell
- D(E_F): 0.6413 states/eV/atom
- Electronic total energy: -19.513 eV for the cell shown
- ΔH_f (0 K): 0.479 eV per atom

Quantum ESPRESSO input file:
```
&SYSTEM
  ibrav = 0, nat = 4, ntyp = 3
/
ATOMIC_SPECIES
Sc 44.96 Sc.upf
Tc 98.00 Tc.upf
Tl 204.38 Tl.upf
CELL_PARAMETERS angstrom
4.947 0.000 0.000
2.474 4.284 0.000
2.474 1.428 4.039
ATOMIC_POSITIONS crystal
Sc 0.500 0.500 0.500
Tc 0.750 0.750 0.750
Tl 0.000 0.000 0.000
Tl 0.250 0.250 0.250
```

***

Record 4
Material: Sc8TlTc2
Method: DFT, PBE
State: relaxed Values from VASP.

Summary:
- Size of the total moment: 0.00 μB per cell
- D(E_F): 0.8314 states/eV/atom
- Electronic total energy: -75.739 eV for the cell shown
- ΔH_f (0 K): -0.181 eV per atom

Quantum ESPRESSO input file:
```
&SYSTEM
  ibrav = 0, nat = 11, ntyp = 3
/
ATOMIC_SPECIES
Sc 44.96 Sc.upf
Tl 204.38 Tl.upf
Tc 98.00 Tc.upf
CELL_PARAMETERS angstrom
4.773 0.062 -1.430
-0.846 5.912 -2.560
-0.080 0.056 8.418
ATOMIC_POSITIONS crystal
Sc 0.637 0.270 0.910
Sc 0.965 0.015 0.566
Sc 0.308 0.359 0.252
Sc 0.749 0.937 0.135
Sc 0.343 0.858 0.323
Sc 0.929 0.443 0.495
Sc 0.137 0.530 0.909
Sc 0.523 0.712 0.682
Tl 0.137 0.970 0.909
Tc 0.803 0.619 0.243
Tc 0.470 0.287 0.577
```